(1)
Entry from the Alexandria database: a geometry-optimized MnNbTc2B structure (PBE-GGA).

Cell: 4.7177 4.1382 4.7177 Å, 90.00 90.00 90.00°
Closest atoms and distances in Å follow each position.
Element x y z (fractional)
Tc (0.0000, 0.0000, 0.5000)  2 Nb 2.36
Tc (0.5000, 0.0000, 0.0000)  2 Nb 2.36
Nb (0.0000, 0.0000, 0.0000)  2 B 2.07
B (0.0000, 0.5000, 0.0000)  2 Nb 2.07
Mn (0.5000, 0.5000, 0.5000)  8 Tc 3.14, 4 B 3.34

Computed properties:
Energy of formation from the pure elements = 2.2392 eV per atom
SG = P4/mmm (123)


(2)
Entry from the Alexandria database: a geometry-optimized SrLa2Cl structure (PBE-GGA).

Cell: 6.8895 6.8895 6.8895 Å, 137.83 137.83 61.16°
Closest atoms and distances in Å follow each position.
Element x y z (fractional)
Cl (0.7500, 0.2500, 0.5000)  8 La 3.50-3.86, 4 Sr 3.86
La (0.2500, 0.7500, 0.5000)  4 Cl 3.50, 4 Sr 3.86, 4 La 3.86
La (0.0000, 0.0000, 0.0000)  4 Sr 3.50, 4 La 3.86, 4 Cl 3.86
Sr (0.5000, 0.5000, 0.0000)  8 La 3.50-3.86, 4 Cl 3.86

Computed properties:
Formation energy from raw total energies = -0.105 eV per atom
SG = I-4m2 (119)
Relative energy among the computed polymorphs = 573 meV per atom


(3)
Entry from the Alexandria database: a geometry-optimized YFeB2 structure (PBE-GGA).

Cell: 4.0566 4.0566 4.0566 Å, 60.00 60.00 60.00°
Closest atoms and distances in Å follow each position.
Element x y z (fractional)
B (0.2500, 0.2500, 0.2500)  4 Fe 2.48, 4 Y 2.48
B (0.7500, 0.7500, 0.7500)  4 Fe 2.48, 4 Y 2.48
Fe (0.0000, 0.0000, 0.0000)  8 B 2.48
Y (0.5000, 0.5000, 0.5000)  8 B 2.48

Computed properties:
Energy of formation from the pure elements = 0.4481 eV per atom
SG = Fm-3m (225)
Relative energy among the computed polymorphs = 919 meV per atom


(4)
Entry from the Alexandria database: a geometry-optimized ScTaAsBr2 structure (PBE-GGA).

Cell: 5.0034 5.0034 5.5239 Å, 90.00 90.00 90.00°
Closest atoms and distances in Å follow each position.
Element x y z (fractional)
Ta (0.5000, 0.5000, 0.5000)  4 As 3.54, 8 Br 3.73
As (0.0000, 0.0000, 0.5000)  2 Sc 2.76
Br (0.0000, 0.5000, 0.0000)  2 Sc 2.50
Br (0.5000, 0.0000, 0.0000)  2 Sc 2.50
Sc (0.0000, 0.0000, 0.0000)  4 Br 2.50, 2 As 2.76

Computed properties:
Formation energy from raw total energies = 0.393 eV per atom
SG = P4/mmm (123)
Relative energy among the computed polymorphs = 247 meV per atom


(5)
Entry from the Alexandria database: a geometry-optimized KTl5In4 structure (PBE-GGA).

Cell: 4.0373 4.0374 18.7564 Å, 90.00 90.00 90.00°
Closest atoms and distances in Å follow each position.
Element x y z (fractional)
Tl (0.5000, 0.5000, 0.5000)  8 In 3.42, 2 Tl 3.59
Tl (0.5000, 0.5000, 0.1254)  4 In 3.31, 1 Tl 3.43, 4 K 3.70
Tl (0.5000, 0.5000, 0.3084)  8 In 3.33-3.35, 2 Tl 3.43-3.59
Tl (0.5000, 0.5000, 0.8746)  4 In 3.31, 1 Tl 3.43, 4 K 3.70
Tl (0.5000, 0.5000, 0.6916)  8 In 3.33-3.35, 2 Tl 3.43-3.59
In (0.0000, 0.0000, 0.3998)  8 Tl 3.33-3.42, 1 In 3.47
In (0.0000, 0.0000, 0.7851)  8 Tl 3.31-3.35, 1 In 3.47
In (0.0000, 0.0000, 0.2149)  8 Tl 3.31-3.35, 1 In 3.47
In (0.0000, 0.0000, 0.6002)  8 Tl 3.33-3.42, 1 In 3.47
K (0.0000, 0.0000, 0.0000)  8 Tl 3.70, 2 In 4.03, 4 K 4.04

Computed properties:
Energy of formation from the pure elements = -0.0049 eV per atom
SG = P4/mmm (123)


(6)
Entry from the Alexandria database: a geometry-optimized PaFeSbRu structure (PBE-GGA).

Cell: 4.7030 4.7030 4.7030 Å, 60.00 60.00 60.00°
Closest atoms and distances in Å follow each position.
Element x y z (fractional)
Sb (0.5000, 0.5000, 0.5000)  4 Ru 2.88, 4 Fe 2.88
Pa (0.0000, 0.0000, 0.0000)  4 Fe 2.88, 4 Ru 2.88
Fe (0.2500, 0.2500, 0.2500)  4 Sb 2.88, 4 Pa 2.88
Ru (0.7500, 0.7500, 0.7500)  4 Pa 2.88, 4 Sb 2.88

Computed properties:
Formation energy from raw total energies = -0.167 eV per atom
SG = F-43m (216)


(7)
Entry from the Alexandria database: a geometry-optimized La4Pm2Pr2Mg structure (PBE-GGA).

Cell: 6.3235 8.1643 6.3641 Å, 104.88 99.72 82.48°
Closest atoms and distances in Å follow each position.
Element x y z (fractional)
Pr (0.2218, 0.5627, 0.8889)  1 Mg 3.60, 6 La 3.60-3.74, 3 Pm 3.65-3.71, 2 Pr 3.68-3.71
Pr (0.7782, 0.4373, 0.1111)  1 Mg 3.60, 6 La 3.60-3.74, 3 Pm 3.65-3.71, 2 Pr 3.68-3.71
La (0.3271, 0.3346, 0.3343)  4 Pr 3.60-3.70, 4 La 3.64-3.71, 1 Mg 3.64, 3 Pm 3.65-3.72
La (0.6729, 0.6654, 0.6657)  4 Pr 3.60-3.70, 4 La 3.64-3.71, 1 Mg 3.64, 3 Pm 3.65-3.72
La (0.5510, 0.8927, 0.2171)  5 La 3.57-3.71, 2 Mg 3.61-3.65, 2 Pr 3.61-3.74, 3 Pm 3.65
La (0.4490, 0.1073, 0.7829)  5 La 3.57-3.71, 2 Mg 3.61-3.65, 2 Pr 3.61-3.74, 3 Pm 3.65
Pm (0.8925, 0.2156, 0.5600)  1 Pm 3.54, 2 Mg 3.60-3.68, 6 La 3.65-3.72, 3 Pr 3.65-3.71
Pm (0.1075, 0.7844, 0.4400)  1 Pm 3.54, 2 Mg 3.60-3.68, 6 La 3.65-3.72, 3 Pr 3.65-3.71
Mg (0.0000, 0.0000, 0.0000)  2 Pr 3.60, 4 Pm 3.60-3.68, 6 La 3.61-3.65

Computed properties:
Energy of formation from the pure elements = 0.0088 eV per atom
SG = P-1 (2)


(8)
Entry from the Alexandria database: a geometry-optimized BaLi5Ca4 structure (PBE-GGA).

Cell: 4.0531 4.0531 20.2686 Å, 90.00 90.00 90.00°
Closest atoms and distances in Å follow each position.
Element x y z (fractional)
Li (0.5000, 0.5000, 0.1198)  4 Ca 3.41, 4 Ba 3.76, 1 Li 3.79
Li (0.5000, 0.5000, 0.5000)  8 Ca 3.47
Li (0.5000, 0.5000, 0.8802)  4 Ca 3.41, 4 Ba 3.76, 1 Li 3.79
Li (0.5000, 0.5000, 0.6933)  8 Ca 3.46-3.47, 1 Li 3.79
Li (0.5000, 0.5000, 0.3067)  8 Ca 3.46-3.47, 1 Li 3.79
Ca (0.0000, 0.0000, 0.4034)  8 Li 3.47
Ca (0.0000, 0.0000, 0.5966)  8 Li 3.47
Ca (0.0000, 0.0000, 0.2107)  8 Li 3.41-3.46
Ca (0.0000, 0.0000, 0.7893)  8 Li 3.41-3.46
Ba (0.0000, 0.0000, 0.0000)  8 Li 3.76, 4 Ba 4.05

Computed properties:
Energy of formation from the pure elements = 0.0256 eV per atom
SG = P4/mmm (123)


For the records above, the corresponding uncorrected energy values read -0.2606; -0.1268; -0.2434; -0.1780; -0.0879; -0.2942; -0.1645; -0.0707 Ha/atom.